Record 1
# La2CoPb PBEsol optimized geometry
data_La2CoPb
_chemical_formula_sum 'La4 Co2 Pb2'
_cell_length_a 3.503
_cell_length_b 4.823
_cell_length_c 11.801
_cell_angle_alpha 90.00
_cell_angle_beta 90.00
_cell_angle_gamma 90.00
_space_group_name_H-M_alt 'I m m 2'
_space_group_IT_number 44
_space_group_name_Hall 'I 2 -2'
loop_
_atom_site_label
_atom_site_fract_x
_atom_site_fract_y
_atom_site_fract_z
_atom_site_occupancy
La1 0.000 0.000 0.000 1
La2 0.000 0.500 0.187 1
Co1 0.000 0.000 0.487 1
Pb1 0.000 0.500 0.807 1
# Crystal system: orthorhombic
# DOS at the Fermi energy (states/eV/atom): 0.713
# Raw total energy (eV per atom): -5.8088
# Energy of formation from the pure elements (eV/atom): -0.202

---

Record 2
# La2Co2Pb PBEsol optimized geometry
data_La2Co2Pb
_chemical_formula_sum 'La4 Co4 Pb2'
_cell_length_a 3.469
_cell_length_b 3.469
_cell_length_c 18.810
_cell_angle_alpha 90.00
_cell_angle_beta 90.00
_cell_angle_gamma 90.00
_space_group_name_H-M_alt 'I 4/m m m'
_space_group_IT_number 139
_space_group_name_Hall '-I 4 2'
loop_
_atom_site_label
_atom_site_fract_x
_atom_site_fract_y
_atom_site_fract_z
_atom_site_occupancy
La1 0.000 0.000 0.130 1
Co1 0.000 0.500 0.250 1
Pb1 0.000 0.000 0.500 1
# Crystal system: tetragonal
# DOS at the Fermi energy (states/eV/atom): 1.243
# Raw total energy (eV per atom): -6.0931
# Energy of formation from the pure elements (eV/atom): -0.060